First-principles (PBE) data for a relaxed HgSbPbI2 crystal, as listed in Alexandria via LeMat-Bulk.

extended XYZ file:
```
5
Lattice="-1.442 5.631 -0.130 -0.904 -0.099 5.742 5.488 1.426 0.888" Properties=species:S:1:pos:R:3 pbc="T T T"
Hg 0.000 0.000 0.000
I -0.452 -0.049 2.871
I -0.721 2.815 -0.065
Sb 2.744 0.713 0.444
Pb 1.571 3.479 3.250
```

Properties
Its space-group type is No. 123. The value obtained for the relative energy among the computed polymorphs is 14.4 kJ/mol of atoms. The crystal system is tetragonal. The uncorrected formation energy is 0.324 eV/atom. The calculation puts the total magnetic moment at 0.00 μB per formula unit.

***

First-principles (PBE) data for a relaxed LiSmDyTm crystal, as listed in Alexandria via LeMat-Bulk.

extended XYZ file:
```
4
Lattice="5.479 0.000 0.000 2.739 4.745 0.000 2.739 1.582 4.473" Properties=species:S:1:pos:R:3 pbc="T T T"
Sm 2.739 1.582 1.118
Dy 8.218 4.745 3.355
Li 0.000 0.000 0.000
Tm 5.479 3.163 2.237
```

Properties
Its space-group type is No. 216. As for the formation energy: 162 meV per atom. The crystal system is cubic. The calculation puts the total magnetic moment at 0.00 μB per formula unit.